Compound: CsV2IO8
Source: Alexandria via LeMat-Bulk
Functional: PBE+U
Structure: relaxed

The structure in CIF format:
```
data_CsV2IO8
_space_group_name_H-M_alt 'P 1'
_space_group_IT_number 1
_cell_length_a 5.4580
_cell_length_b 5.4580
_cell_length_c 8.8144
_cell_angle_alpha 86.32
_cell_angle_beta 86.32
_cell_angle_gamma 64.25
loop_
_space_group_symop_operation_xyz
'x,y,z'
loop_
_atom_site_label
_atom_site_fract_x
_atom_site_fract_y
_atom_site_fract_z
_atom_site_occupancy
Cs1 0.0000 0.0000 0.5000 1
V1 0.6296 0.6296 0.1897 1
V2 0.3704 0.3704 0.8103 1
I1 0.0000 0.0000 0.0000 1
O1 0.7319 0.2247 0.8316 1
O2 0.7778 0.7778 0.0507 1
O3 0.6823 0.6823 0.3643 1
O4 0.3177 0.3177 0.6357 1
O5 0.2222 0.2222 0.9493 1
O6 0.2247 0.7319 0.8316 1
O7 0.7753 0.2681 0.1684 1
O8 0.2681 0.7753 0.1684 1
```

Raw total energy in eV per atom: -6.173